# 1
A plane-wave DFT calculation with PBE was carried out for an optimized crystal structure of Y4Fe3W2N3.

Computed properties:
For the volume, the calculation gives 370 Å³ per cell. For the calculated total energy, the calculation gives -213.3 eV per cell.

Cell lengths 5.5580, 5.5587, 13.7381 Å; angles 89.87, 89.87, 60.79 degrees
Closest atoms and distances in Å follow each position.
Element x y z (fractional)
1 Fe 0.8288 0.6715 0.7492  2 Y 2.70, 4 Fe 2.71-2.85, 2 W 2.77-2.78
2 Fe 0.1711 0.3288 0.2489  2 Y 2.69-2.70, 4 Fe 2.72-2.85, 2 W 2.77
3 N 0.0001 0.5003 0.9992  2 W 2.16, 2 Y 2.27-2.28
4 Fe 0.1519 0.8497 0.2545  2 Y 2.68-2.72, 2 W 2.70-2.95, 4 Fe 2.72-2.85
5 N 0.6392 0.1907 0.9977  2 W 2.05-2.16
6 Y 0.0099 0.1554 0.0917  3 N 2.28-2.36
7 Y 0.3272 0.1685 0.6200  3 N 2.41-2.57
8 W 0.6651 0.5102 0.9166  3 N 2.05-2.16
9 Fe 0.8486 0.1496 0.7434  2 Y 2.69-2.72, 2 W 2.70-2.96, 4 Fe 2.71-2.85
10 Y 0.6683 0.8274 0.1202  3 N 2.41-2.57
11 N 0.0000 0.5002 0.4989  2 W 2.16, 2 Y 2.27-2.28
12 Fe 0.3497 0.6521 0.7550  2 Y 2.69-2.72, 2 W 2.70-2.96, 4 Fe 2.72-2.84
13 Y 0.6727 0.8319 0.3779  3 N 2.41-2.57
14 W 0.0102 0.1653 0.4162  3 N 2.05-2.16
15 N 0.6906 0.1395 0.4975  2 W 2.05-2.16
16 Y 0.9904 0.8442 0.9067  3 N 2.27-2.36
17 W 0.9897 0.8352 0.5816  3 N 2.05-2.16
18 W 0.3351 0.4898 0.0818  3 N 2.05-2.16
19 Y 0.3442 0.4907 0.4062  3 N 2.27-2.36
20 Y 0.3316 0.1729 0.8780  3 N 2.41-2.57
21 N 0.3611 0.8097 0.0004  2 W 2.05-2.16
22 Fe 0.6511 0.3477 0.2433  2 Y 2.69-2.72, 2 W 2.70-2.95, 4 Fe 2.72-2.84
23 N 0.3095 0.8608 0.5004  2 W 2.05-2.16
24 Y 0.6558 0.5097 0.5917  3 N 2.28-2.36

***

# 2
A plane-wave DFT calculation with PBE was carried out for an optimized crystal structure of Y3HoC2S2.

Computed properties:
For the volume, the calculation gives 153 Å³ per cell. For the calculated total energy, the calculation gives -60.8 eV per cell.

Cell lengths 3.7051, 3.7051, 12.8993 Å; angles 90.00, 90.00, 120.00 degrees
Closest atoms and distances in Å follow each position.
Element x y z (fractional)
1 Y 0.3333 0.6667 0.1039  3 C 2.53
2 Ho 0.0000 0.0000 0.8961  3 C 2.52
3 Y 0.0000 0.0000 0.6046  3 C 2.53
4 C 0.6667 0.3333 0.9990  3 Ho 2.52, 3 Y 2.53
5 C 0.6667 0.3333 0.5000  6 Y 2.53
6 Y 0.3333 0.6667 0.3958  3 C 2.53
7 S 0.0000 0.0000 0.2499  6 Y 2.85
8 S 0.3333 0.6667 0.7508  3 Ho 2.84, 3 Y 2.85

***

# 3
A plane-wave DFT calculation with PBE was carried out for an optimized crystal structure of AgBi3Cl.

Computed properties:
For the volume, the calculation gives 170 Å³ per cell. For the calculated total energy, the calculation gives -13.2 eV per cell.

Cell lengths 5.5358, 5.5358, 5.5358 Å; angles 90.00, 90.00, 90.00 degrees
Closest atoms and distances in Å follow each position.
Element x y z (fractional)
1 Bi 0.0000 0.5000 0.5000  2 Cl 2.77
2 Cl 0.5000 0.5000 0.5000  6 Bi 2.77
3 Bi 0.5000 0.5000 0.0000  2 Cl 2.77
4 Ag 0.0000 0.0000 0.0000  12 Bi 3.91
5 Bi 0.5000 0.0000 0.5000  2 Cl 2.77

***

# 4
A plane-wave DFT calculation with PBE was carried out for an optimized crystal structure of AgS.

Computed properties:
For the volume, the calculation gives 38 Å³ per cell. For the calculated total energy, the calculation gives -6.5 eV per cell.

Cell lengths 3.6584, 3.6584, 3.2938 Å; angles 90.00, 90.00, 120.00 degrees
Closest atoms and distances in Å follow each position.
Element x y z (fractional)
1 S 0.3333 0.6667 0.2500  6 Ag 2.68
2 Ag 0.6667 0.3333 0.7500  6 S 2.68

***

# 5
A plane-wave DFT calculation with PBE was carried out for an optimized crystal structure of HoErSnC.

Computed properties:
For the volume, the calculation gives 176 Å³ per cell. For the calculated total energy, the calculation gives -49.3 eV per cell.

Cell lengths 3.5928, 3.5928, 15.7347 Å; angles 90.00, 90.00, 120.00 degrees
Closest atoms and distances in Å follow each position.
Element x y z (fractional)
1 Er 0.6667 0.3333 0.5841  3 C 2.46
2 Ho 0.6667 0.3333 0.9153  3 C 2.47
3 Ho 0.3333 0.6667 0.0847  3 C 2.47
4 C 0.0000 0.0000 0.0000  6 Ho 2.47
5 C 0.0000 0.0000 0.5000  6 Er 2.46
6 Sn 0.6667 0.3333 0.2505  3 Er 3.33, 3 Ho 3.33, 6 Sn 3.59
7 Er 0.3333 0.6667 0.4159  3 C 2.46
8 Sn 0.3333 0.6667 0.7495  3 Er 3.33, 3 Ho 3.33, 6 Sn 3.59

***

# 6
A plane-wave DFT calculation with PBE was carried out for an optimized crystal structure of InCuHgOs.

Computed properties:
For the volume, the calculation gives 69 Å³ per cell. For the calculated total energy, the calculation gives -15.0 eV per cell.

Cell lengths 4.5985, 4.5985, 4.5985 Å; angles 60.00, 60.00, 60.00 degrees
Closest atoms and distances in Å follow each position.
Element x y z (fractional)
1 In 0.0000 0.0000 0.0000  4 Hg 2.82, 4 Cu 2.82
2 Os 0.5000 0.5000 0.5000  4 Hg 2.82, 4 Cu 2.82
3 Cu 0.7500 0.7500 0.7500  4 Os 2.82, 4 In 2.82
4 Hg 0.2500 0.2500 0.2500  4 Os 2.82, 4 In 2.82